(1)
CoRu2PtW: relaxed, GGA-PBE.

Cell lengths 4.3441, 4.3821, 4.3441 Å; angles 90.00, 90.00, 90.00 degrees
With the nearest neighbours (Å) after each atom.
Fractional coordinates of all 5 atoms:
Co 0.0000 0.0000 0.0000  4 Ru 2.17, 2 W 2.19
Ru 0.5000 0.0000 0.0000  2 Co 2.17
W 0.0000 0.5000 0.0000  2 Co 2.19
Pt 0.5000 0.5000 0.5000  4 W 3.07, 8 Ru 3.09
Ru 0.0000 0.0000 0.5000  2 Co 2.17

## Properties
- Density: 12.9 Mg/m³
- Energy of formation from the pure elements: 1.2879 eV per atom
- Spin magnetization: 0.00 Bohr magnetons per cell


(2)
Tm12CdFe6: relaxed, GGA-PBE.

Cell lengths 8.2644, 8.2644, 8.2644 Å; angles 109.47, 109.47, 109.47 degrees
With the nearest neighbours (Å) after each atom.
Fractional coordinates of all 19 atoms:
Tm 0.5069 0.8050 0.7019  3 Fe 2.67-2.88
Tm 0.7019 0.8969 0.1950  3 Fe 2.67-2.88
Fe 0.6112 0.5000 0.1112  1 Fe 2.12
Fe 0.5000 0.1112 0.6112  1 Fe 2.12
Tm 0.7019 0.5069 0.8050  3 Fe 2.67-2.88
Tm 0.1950 0.2981 0.4931  3 Fe 2.67-2.88
Tm 0.8050 0.7019 0.5069  3 Fe 2.67-2.88
Fe 0.5000 0.8888 0.3888  1 Fe 2.12
Cd 0.0000 0.0000 0.0000  12 Tm 3.40
Fe 0.1112 0.6112 0.5000  1 Fe 2.12
Tm 0.8969 0.1950 0.7019  3 Fe 2.67-2.88
Tm 0.2981 0.4931 0.1950  3 Fe 2.67-2.88
Fe 0.8888 0.3888 0.5000  1 Fe 2.12
Tm 0.1031 0.8050 0.2981  3 Fe 2.67-2.88
Tm 0.2981 0.1031 0.8050  3 Fe 2.67-2.88
Fe 0.3888 0.5000 0.8888  1 Fe 2.12
Tm 0.4931 0.1950 0.2981  3 Fe 2.67-2.88
Tm 0.8050 0.2981 0.1031  3 Fe 2.67-2.88
Tm 0.1950 0.7019 0.8969  3 Fe 2.67-2.88

## Properties
- Density: 9.5 Mg/m³
- Energy of formation from the pure elements: -0.0792 eV per atom
- Spin magnetization: 5.54 Bohr magnetons per cell


(3)
ReSiAs2: relaxed, GGA-PBE.

Cell lengths 8.9112, 8.9112, 8.9112 Å; angles 19.58, 19.58, 19.58 degrees
With the nearest neighbours (Å) after each atom.
Fractional coordinates of all 4 atoms:
As 0.5114 0.5114 0.5114  3 Re 2.57
As 0.9886 0.9886 0.9886  3 Re 2.57
Si 0.7500 0.7500 0.7500  6 Si 3.03, 6 As 3.04
Re 0.2500 0.2500 0.2500  6 As 2.57

## Properties
- ΔE_f (raw): 0.32 eV per atom
- Density: 8.7 Mg/m³
- Spin magnetization: 0.00 Bohr magnetons per cell


(4)
RbInSeO5: relaxed, GGA-PBE.

Cell lengths 6.3837, 6.3837, 7.4450 Å; angles 104.15, 104.15, 106.58 degrees
With the nearest neighbours (Å) after each atom.
Fractional coordinates of all 16 atoms:
O 0.1162 0.6935 0.8725  1 Se 1.69
O 0.0712 0.9288 0.2500  2 In 2.00
O 0.5711 0.7670 0.9130  1 Se 1.68
O 0.4289 0.2330 0.0870  1 Se 1.68
Se 0.6937 0.3063 0.2500  4 O 1.68-1.69
O 0.7670 0.5711 0.4130  1 Se 1.68
Se 0.3063 0.6937 0.7500  4 O 1.68-1.69
O 0.2330 0.4289 0.5870  1 Se 1.68
In 0.0000 0.0000 0.0000  2 O 2.00
Rb 0.3403 0.6597 0.2500  7 O 2.75-2.97
O 0.6935 0.1162 0.3725  1 Se 1.69
O 0.8838 0.3065 0.1275  1 Se 1.69
O 0.3065 0.8838 0.6275  1 Se 1.69
Rb 0.6597 0.3403 0.7500  7 O 2.75-2.97
In 0.0000 0.0000 0.5000  2 O 2.00
O 0.9288 0.0712 0.7500  2 In 2.00

## Properties
- ΔE_f (raw): -1.19 eV per atom
- Density: 4.5 Mg/m³
- Spin magnetization: 0.00 Bohr magnetons per cell


(5)
Ca3Ac2Sn4: relaxed, GGA-PBE.

Cell lengths 8.1896, 8.6655, 8.7009 Å; angles 90.00, 90.00, 107.02 degrees
With the nearest neighbours (Å) after each atom.
Fractional coordinates of all 18 atoms:
Ca 0.0000 0.5000 0.5000  6 Sn 3.24-3.51
Ca 0.7502 0.2457 0.8278  6 Sn 3.19-3.31
Ac 0.4291 0.8062 0.6824  6 Sn 3.42-3.71
Ca 0.2498 0.7543 0.1722  6 Sn 3.19-3.31
Ac 0.9291 0.8062 0.8176  6 Sn 3.42-3.71
Sn 0.6384 0.9216 0.0358  1 Sn 3.03, 3 Ca 3.19-3.31
Ac 0.5709 0.1938 0.3176  6 Sn 3.42-3.71
Sn 0.3616 0.0784 0.9642  1 Sn 3.03, 3 Ca 3.19-3.31
Sn 0.6282 0.5054 0.6221  1 Sn 2.97, 4 Ca 3.24-3.31
Sn 0.1282 0.5054 0.8779  1 Sn 2.97, 4 Ca 3.24-3.31
Sn 0.1384 0.9216 0.4642  1 Sn 3.03, 3 Ca 3.19-3.31
Ca 0.2502 0.2457 0.6722  6 Sn 3.19-3.31
Sn 0.8616 0.0784 0.5358  1 Sn 3.03, 3 Ca 3.19-3.31
Ca 0.7498 0.7543 0.3278  6 Sn 3.19-3.31
Sn 0.8718 0.4946 0.1221  1 Sn 2.97, 4 Ca 3.24-3.31
Ac 0.0709 0.1938 0.1824  6 Sn 3.42-3.71
Ca 0.5000 0.5000 0.0000  6 Sn 3.24-3.51
Sn 0.3718 0.4946 0.3779  1 Sn 2.97, 4 Ca 3.24-3.31

## Properties
- Density: 5.9 Mg/m³
- ΔE to the lowest computed polymorph: 0 meV per atom
- Energy of formation from the pure elements: -0.7534 eV per atom
- Spin magnetization: 0.00 Bohr magnetons per cell


(6)
Y3Se: relaxed, GGA-PBE.

Cell lengths 5.3692, 5.3692, 5.3692 Å; angles 60.00, 60.00, 60.00 degrees
With the nearest neighbours (Å) after each atom.
Fractional coordinates of all 4 atoms:
Y 0.2500 0.2500 0.2500  4 Se 3.29, 4 Y 3.29
Se 0.0000 0.0000 0.0000  8 Y 3.29
Y 0.7500 0.7500 0.7500  4 Y 3.29, 4 Se 3.29
Y 0.5000 0.5000 0.5000  8 Y 3.29

## Properties
- ΔE_f (raw): -0.12 eV per atom
- Density: 5.2 Mg/m³
- ΔE to the lowest computed polymorph: 704 meV per atom
- Spin magnetization: 0.00 Bohr magnetons per cell